The following is a DFT calculation (PBE with a Hubbard U) of a relaxed structure of ErNpMnO6.

Calculated values
Total moment = 10.0 μB/cell
SG = P-31c, No. 163
DFT total energy = -78.0 eV per formula unit

Lattice parameters (Å, degrees): 5.679 5.679 8.982 90.00 90.00 120.00
Fractional positions:
Er (0.333, 0.667, 0.250)
Er (0.667, 0.333, 0.750)
Np (0.667, 0.333, 0.250)
Np (0.333, 0.667, 0.750)
Mn (0.000, 0.000, 0.000)
Mn (0.000, 0.000, 0.500)
O (0.668, 0.640, 0.132)
O (0.972, 0.332, 0.132)
O (0.332, 0.972, 0.632)
O (0.028, 0.668, 0.868)
O (0.360, 0.332, 0.368)
O (0.972, 0.640, 0.368)
O (0.640, 0.972, 0.868)
O (0.668, 0.028, 0.368)
O (0.028, 0.360, 0.632)
O (0.360, 0.028, 0.132)
O (0.640, 0.668, 0.632)
O (0.332, 0.360, 0.868)